# 1
Compound: Cs2Cd2Pd
Source: the Alexandria database
Functional: PBE
Structure: relaxed

ΔH_f (0 K) = 2.3 kJ/mol of atoms

```
Cs2Cd2Pd
1.0
7.6089 0.0000 0.0000
0.0000 7.6089 0.0000
0.0000 0.0000 6.1572
Cs Cd Pd
4 4 2
Direct
0.1799 0.6799 0.5000 Cs
0.3201 0.1799 0.5000 Cs
0.6799 0.8201 0.5000 Cs
0.8201 0.3201 0.5000 Cs
0.1529 0.3471 0.0000 Cd
0.8471 0.6529 0.0000 Cd
0.3471 0.8471 0.0000 Cd
0.6529 0.1529 0.0000 Cd
0.5000 0.5000 0.0000 Pd
0.0000 0.0000 0.0000 Pd
```


# 2
Compound: Cs2Cd4Pd
Source: the Alexandria database
Functional: PBE
Structure: relaxed

ΔH_f (0 K) = -11.1 kJ/mol of atoms

```
Cs2Cd4Pd
1.0
5.4303 0.0000 0.0000
0.0000 5.4303 0.0000
-2.7152 -2.7152 9.7264
Cd Pd Cs
4 1 2
Direct
0.0000 0.5000 0.0000 Cd
0.5000 0.0000 0.0000 Cd
0.1370 0.1370 0.2739 Cd
0.8630 0.8630 0.7261 Cd
0.0000 0.0000 0.0000 Pd
0.3456 0.3456 0.6912 Cs
0.6544 0.6544 0.3088 Cs
```


# 3
Compound: CsCdPd2
Source: the Alexandria database
Functional: PBE
Structure: relaxed

ΔH_f (0 K) = 7.3 kJ/mol of atoms

```
CsCdPd2
1.0
-2.9075 3.4290 -2.8300
-3.8869 -0.3188 3.6070
0.3731 8.6206 5.0760
Pd Cd Cs
4 2 2
Direct
0.8750 0.6766 0.7500 Pd
0.3750 0.5734 0.7500 Pd
0.4266 0.1250 0.2500 Pd
0.3234 0.6250 0.2500 Pd
0.2500 0.7500 0.5000 Cd
0.5000 0.5000 0.0000 Cd
0.0000 0.0000 0.0000 Cs
0.7500 0.2500 0.5000 Cs
```


# 4
Compound: Cs3CdPd
Source: the Alexandria database
Functional: PBE
Structure: relaxed

ΔH_f (0 K) = 43.6 kJ/mol of atoms

```
Cs3CdPd
1.0
-6.4518 2.7507 -0.1645
-1.2998 -2.6687 6.3567
2.4298 5.8763 2.9638
Cs Cd Pd
3 1 1
Direct
0.5000 0.0000 0.0000 Cs
0.0000 0.5000 0.0000 Cs
0.0000 0.0000 0.5000 Cs
0.0000 0.0000 0.0000 Cd
0.5000 0.5000 0.5000 Pd
```


# 5
Compound: CsCdPd
Source: the Alexandria database
Functional: PBE
Structure: relaxed

ΔH_f (0 K) = -6.0 kJ/mol of atoms

```
CsCdPd
1.0
3.8710 0.0000 0.0000
0.0000 3.8710 0.0000
-1.9355 -1.9355 6.4254
Cs Cd Pd
1 1 1
Direct
0.9979 0.9979 0.9958 Cs
0.2642 0.2642 0.5283 Cd
0.7379 0.7379 0.4759 Pd
```


# 6
Compound: CsCdPd2
Source: the Alexandria database
Functional: PBE
Structure: relaxed

ΔH_f (0 K) = -18.9 kJ/mol of atoms

```
CsCdPd2
1.0
-2.3144 1.1115 -4.0037
-0.2697 -3.1584 -3.5459
-6.1994 -2.9759 -0.0676
Pd Cs Cd
2 1 1
Direct
0.3241 0.3241 0.0277 Pd
0.6759 0.6759 0.9723 Pd
0.5000 0.5000 0.5000 Cs
0.0000 0.0000 0.0000 Cd
```


# 7
Compound: CsRbCd2Pd
Source: the Alexandria database
Functional: PBE
Structure: relaxed

ΔH_f (0 K) = -6.3 kJ/mol of atoms

```
CsRbCd2Pd
1.0
5.5217 0.0000 0.0000
0.0000 5.5217 0.0000
0.0000 0.0000 6.1465
Cd Pd Cs Rb
2 1 1 1
Direct
0.0000 0.5000 0.0000 Cd
0.5000 0.0000 0.0000 Cd
0.0000 0.0000 0.0000 Pd
0.5000 0.5000 0.5000 Cs
0.0000 0.0000 0.5000 Rb
```


# 8
Compound: CsRbCd2Pd
Source: the Alexandria database
Functional: PBE
Structure: relaxed

ΔH_f (0 K) = -3.3 kJ/mol of atoms

```
CsRbCd2Pd
1.0
5.5131 0.0000 0.0000
0.0000 5.5131 0.0000
0.0000 0.0000 6.2746
Rb Cd Pd Cs
1 2 1 1
Direct
0.5000 0.5000 0.5000 Rb
0.5000 0.0000 0.0000 Cd
0.0000 0.5000 0.0000 Cd
0.0000 0.0000 0.0000 Pd
0.0000 0.0000 0.5000 Cs
```


# 9
Compound: Cs2RbCdPd
Source: the Alexandria database
Functional: PBE
Structure: relaxed

ΔH_f (0 K) = 1.6 kJ/mol of atoms

```
Cs2RbCdPd
1.0
-4.9172 -2.2218 -4.4744
-3.1368 -3.5132 5.1917
-3.0171 4.3797 1.1409
Cs Pd Rb Cd
2 1 1 1
Direct
0.5000 0.0000 0.0000 Cs
0.0000 0.5000 0.0000 Cs
0.0000 0.0000 0.0000 Pd
0.5000 0.5000 0.5000 Rb
0.0000 0.0000 0.5000 Cd
```


# 10
Compound: CsRb2CdPd
Source: the Alexandria database
Functional: PBE
Structure: relaxed

ΔH_f (0 K) = 2.1 kJ/mol of atoms

```
CsRb2CdPd
1.0
-2.3059 0.4705 6.3091
1.1777 -6.5658 0.9200
5.0297 1.1478 1.7528
Cd Rb Pd Cs
1 2 1 1
Direct
0.0000 0.0000 0.5000 Cd
0.5000 0.0000 0.0000 Rb
0.0000 0.5000 0.0000 Rb
0.0000 0.0000 0.0000 Pd
0.5000 0.5000 0.5000 Cs
```


# 11
Compound: CsCd2PdS
Source: the Alexandria database
Functional: PBE
Structure: relaxed

energy relative to the elements, uncorrected = 0.0284 eV per atom

```
CsCd2PdS
1.0
5.9618 0.0000 0.0000
0.0000 4.5914 0.0000
0.0000 0.0000 5.9618
S Pd Cs Cd
1 1 1 2
Direct
0.0000 0.0000 0.0000 S
0.0000 0.5000 0.0000 Pd
0.5000 0.5000 0.5000 Cs
0.0000 0.0000 0.5000 Cd
0.5000 0.0000 0.0000 Cd
```


# 12
Compound: CsCd2SbPd
Source: the Alexandria database
Functional: PBE
Structure: relaxed

energy relative to the elements, uncorrected = -0.1568 eV per atom

```
CsCd2SbPd
1.0
5.4057 0.0000 0.0000
0.0000 5.4057 0.0000
0.0000 0.0000 5.3446
Pd Cd Sb Cs
1 2 1 1
Direct
0.0000 0.0000 0.0000 Pd
0.5000 0.0000 0.0000 Cd
0.0000 0.5000 0.0000 Cd
0.0000 0.0000 0.5000 Sb
0.5000 0.5000 0.5000 Cs
```


D(E_F) values, unit states/eV/atom, following the record order: 0.42; 0.45; 0.28; 0.94; 0.37; 0.44; 0.57; 0.61; 0.50; 0.60; 0.40; 0.66.